Entry 1:
# Ta3TiTc (PBE, relaxed)
data_Ta3TiTc
_symmetry_space_group_name_H-M 'C 1 2/m 1'
_symmetry_Int_Tables_number 12
_cell_length_a 10.347
_cell_length_b 3.187
_cell_length_c 10.395
_cell_angle_alpha 90.00
_cell_angle_beta 90.30
_cell_angle_gamma 90.00
loop_
_symmetry_equiv_pos_as_xyz
'x,y,z'
'-x,-y,-z'
'-x,y,-z'
'x,-y,z'
'x+1/2,y+1/2,z'
'-x+1/2,-y+1/2,-z'
'-x+1/2,y+1/2,-z'
'x+1/2,-y+1/2,z'
loop_
_atom_site_label
_atom_site_fract_x
_atom_site_fract_y
_atom_site_fract_z
_atom_site_occupancy
Ta1 0.143 0.000 0.047 1
Ta2 0.146 0.500 0.544 1
Ta3 0.239 0.000 0.755 1
Ti1 0.050 0.000 0.334 1
Tc1 0.049 0.500 0.853 1
# Density of states at the Fermi level ... 1.14 states/eV/atom
# Excess energy over the best structure of this formula in the dataset ... 0.000 eV per atom
# Electronic total energy ... -54.8 eV/f.u.
# Energy of formation from the pure elements ... -0.199 eV/atom



Entry 2:
# Ac4Hg2PSe (PBE, relaxed)
data_Ac4Hg2PSe
_symmetry_space_group_name_H-M 'P 1 2/m 1'
_symmetry_Int_Tables_number 10
_cell_length_a 7.648
_cell_length_b 4.415
_cell_length_c 8.523
_cell_angle_alpha 90.00
_cell_angle_beta 107.33
_cell_angle_gamma 90.00
loop_
_symmetry_equiv_pos_as_xyz
'x,y,z'
'-x,-y,-z'
'-x,y,-z'
'x,-y,z'
loop_
_atom_site_label
_atom_site_fract_x
_atom_site_fract_y
_atom_site_fract_z
_atom_site_occupancy
Ac1 0.232 0.000 0.221 1
Ac2 0.249 0.500 0.774 1
Hg1 0.000 0.000 0.500 1
Hg2 0.500 0.500 0.500 1
P1 0.000 0.500 0.000 1
Se1 0.500 0.000 0.000 1
# Density of states at the Fermi level ... 0.85 states/eV/atom
# ΔE_f (raw) ... -97.3 kJ/mol of atoms
# Electronic total energy ... -34.0 eV/f.u.



Entry 3:
# InAsSe2Br (PBE, relaxed)
data_InAsSe2Br
_symmetry_space_group_name_H-M 'P 4/m m m'
_symmetry_Int_Tables_number 123
_symmetry_space_group_name_Hall '-P 4 2'
_cell_length_a 5.350
_cell_length_b 5.350
_cell_length_c 5.258
_cell_angle_alpha 90.00
_cell_angle_beta 90.00
_cell_angle_gamma 90.00
loop_
_atom_site_label
_atom_site_fract_x
_atom_site_fract_y
_atom_site_fract_z
_atom_site_occupancy
In1 0.000 0.000 0.000 1
As1 0.500 0.500 0.500 1
Se1 0.000 0.500 0.000 1
Br1 0.000 0.000 0.500 1
# Density of states at the Fermi level ... 0.49 states/eV/atom
# ΔE_f (raw) ... 45.9 kJ/mol of atoms
# Excess energy over the best structure of this formula in the dataset ... 0.462 eV per atom
# Electronic total energy ... -13.6 eV/f.u.



Entry 4:
# AlFeReOs (PBE, relaxed)
data_AlFeReOs
_symmetry_space_group_name_H-M 'F -4 3 m'
_symmetry_Int_Tables_number 216
_symmetry_space_group_name_Hall 'F -4 2 3'
_cell_length_a 6.030
_cell_length_b 6.030
_cell_length_c 6.030
_cell_angle_alpha 90.00
_cell_angle_beta 90.00
_cell_angle_gamma 90.00
loop_
_atom_site_label
_atom_site_fract_x
_atom_site_fract_y
_atom_site_fract_z
_atom_site_occupancy
Al1 0.000 0.000 0.000 1
Fe1 0.250 0.250 0.750 1
Re1 0.000 0.000 0.500 1
Os1 0.250 0.250 0.250 1
# Density of states at the Fermi level ... 1.02 states/eV/atom
# Electronic total energy ... -36.1 eV/f.u.
# Energy of formation from the pure elements ... -0.056 eV/atom



Entry 5:
# Ta2PtAu (PBE, relaxed)
data_Ta2PtAu
_symmetry_space_group_name_H-M 'P m m 2'
_symmetry_Int_Tables_number 25
_cell_length_a 2.852
_cell_length_b 4.681
_cell_length_c 5.095
_cell_angle_alpha 90.00
_cell_angle_beta 90.00
_cell_angle_gamma 90.00
loop_
_symmetry_equiv_pos_as_xyz
'x,y,z'
'-x,-y,z'
'-x,y,z'
'x,-y,z'
loop_
_atom_site_label
_atom_site_fract_x
_atom_site_fract_y
_atom_site_fract_z
_atom_site_occupancy
Ta1 0.000 0.000 0.000 1
Ta2 0.000 0.500 0.345 1
Pt1 0.500 0.000 0.501 1
Au1 0.500 0.500 0.840 1
# Density of states at the Fermi level ... 0.94 states/eV/atom
# Electronic total energy ... -34.2 eV/f.u.
# Energy of formation from the pure elements ... -0.298 eV/atom



Entry 6:
# NbRuN2F (PBE, relaxed)
data_NbRuN2F
_symmetry_space_group_name_H-M 'P 4/m m m'
_symmetry_Int_Tables_number 123
_symmetry_space_group_name_Hall '-P 4 2'
_cell_length_a 4.101
_cell_length_b 4.101
_cell_length_c 4.013
_cell_angle_alpha 90.00
_cell_angle_beta 90.00
_cell_angle_gamma 90.00
loop_
_atom_site_label
_atom_site_fract_x
_atom_site_fract_y
_atom_site_fract_z
_atom_site_occupancy
Nb1 0.000 0.000 0.000 1
Ru1 0.500 0.500 0.500 1
N1 0.000 0.500 0.000 1
F1 0.000 0.000 0.500 1
# Density of states at the Fermi level ... 0.96 states/eV/atom
# ΔE_f (raw) ... 21.6 kJ/mol of atoms
# Excess energy over the best structure of this formula in the dataset ... 0.000 eV per atom
# Electronic total energy ... -36.7 eV/f.u.



Entry 7:
# PaCrOs2 (PBE, relaxed)
data_PaCrOs2
_symmetry_space_group_name_H-M 'P 4/m m m'
_symmetry_Int_Tables_number 123
_symmetry_space_group_name_Hall '-P 4 2'
_cell_length_a 2.972
_cell_length_b 2.972
_cell_length_c 7.331
_cell_angle_alpha 90.00
_cell_angle_beta 90.00
_cell_angle_gamma 90.00
loop_
_atom_site_label
_atom_site_fract_x
_atom_site_fract_y
_atom_site_fract_z
_atom_site_occupancy
Pa1 0.000 0.000 0.000 1
Cr1 0.000 0.000 0.500 1
Os1 0.500 0.500 0.299 1
# Density of states at the Fermi level ... 0.63 states/eV/atom
# Excess energy over the best structure of this formula in the dataset ... 0.000 eV per atom
# Electronic total energy ... -41.8 eV/f.u.
# Energy of formation from the pure elements ... -0.067 eV/atom



Entry 8:
# Er2In3Pd8 (PBE, relaxed)
data_Er2In3Pd8
_symmetry_space_group_name_H-M 'R -3 m'
_symmetry_Int_Tables_number 166
_symmetry_space_group_name_Hall '-R 3 2"'
_cell_length_a 5.3812
_cell_length_b 5.3812
_cell_length_c 30.6018
_cell_angle_alpha 90.00
_cell_angle_beta 90.00
_cell_angle_gamma 120.00
loop_
_atom_site_label
_atom_site_fract_x
_atom_site_fract_y
_atom_site_fract_z
_atom_site_occupancy
Er1 0.0000 0.0000 0.1305 1
In1 0.0000 0.0000 0.3100 1
In2 0.0000 0.0000 0.5000 1
Pd1 0.0000 0.0000 0.2209 1
Pd2 0.0018 0.5009 0.2782 1
# Density of states at the Fermi level ... 0.47 states/eV/atom
# Electronic total energy ... -64.5 eV/f.u.
# Energy of formation from the pure elements ... -0.431 eV/atom